BeCdMo2: relaxed, PBE.

Computed properties:
formation enthalpy at 0 K	0.47	eV per atom

a = 3.9712 Å, b = 3.9712 Å, c = 7.7840 Å
α = 90.00°, β = 90.00°, γ = 90.00°
With the nearest neighbours (Å) after each atom.
Space group I-4m2 (No. 119)
Inequivalent atoms, fractional coordinates:
Be: 0.0000 0.0000 0.0000 [2 per cell]  4 Cd 2.78, 8 Mo 2.78-2.81
Cd: 0.0000 0.5000 0.7500 [2 per cell]  8 Mo 2.78-2.81, 4 Be 2.78
Mo: 0.0000 0.0000 0.5000 [2 per cell]  4 Cd 2.78, 4 Mo 2.78, 4 Be 2.81
Mo: 0.0000 0.5000 0.2500 [2 per cell]  4 Mo 2.78, 4 Be 2.78, 4 Cd 2.81

---

BaHg2Ir: relaxed, PBE.

Computed properties:
formation enthalpy at 0 K	0.05	eV per atom

a = 3.9993 Å, b = 5.4244 Å, c = 9.8832 Å
α = 90.00°, β = 90.00°, γ = 90.00°
With the nearest neighbours (Å) after each atom.
Space group Immm (No. 71)
Inequivalent atoms, fractional coordinates:
Ba: 0.0000 0.0000 0.0000 [2 per cell]  8 Hg 3.35-3.58, 4 Ir 3.37
Hg: 0.0000 0.5000 0.1997 [4 per cell]  2 Ir 2.81
Ir: 0.0000 0.0000 0.5000 [2 per cell]  4 Hg 2.81

---

BeIrRh4: relaxed, PBE.

Computed properties:
formation enthalpy at 0 K	0.58	eV per atom

a = 7.1128 Å, b = 7.1128 Å, c = 7.1128 Å
α = 90.00°, β = 90.00°, γ = 90.00°
With the nearest neighbours (Å) after each atom.
Space group F-43m (No. 216)
Inequivalent atoms, fractional coordinates:
Be: 0.0000 0.0000 0.0000 [4 per cell]  12 Rh 2.95, 4 Ir 3.08
Ir: 0.2500 0.2500 0.7500 [4 per cell]  12 Rh 2.95, 4 Be 3.08
Rh: 0.1252 0.1252 0.3748 [16 per cell]  6 Rh 2.51-2.52

---

MoN: relaxed, PBE.

Computed properties:
ΔE_f (raw)	-0.34	eV per atom

a = 4.1234 Å, b = 4.1234 Å, c = 4.1234 Å
α = 90.00°, β = 90.00°, γ = 90.00°
With the nearest neighbours (Å) after each atom.
Space group Pm-3m (No. 221)
Inequivalent atoms, fractional coordinates:
Mo: 0.0000 0.0000 0.5000 [3 per cell]  4 N 2.06
N: 0.0000 0.5000 0.5000 [3 per cell]  4 Mo 2.06

---

These records have total DFT energy (no corrections) values of -6.102; -2.796; -6.424; -9.914 eV/atom, in the order they appear.
These records have volume values of 61; 107; 90; 23 Å³/f.u., in the order they appear.